1.
{"formula": "ScGa2F8", "functional": "PBE", "state": "relaxed", "raw_formation_energy_ev_per_atom": -2.874, "space_group": "C2/m", "cell": [[5.169, -0.153, -0.116], [-0.202, 5.526, -0.139], [-0.202, 1.354, 5.360]], "species": ["F", "F", "F", "F", "F", "Ga", "F", "F", "Ga", "F", "Sc"], "fractional_positions": [[0.831, 0.206, 0.206], [0.760, 0.139, 0.702], [0.760, 0.702, 0.139], [0.169, 0.794, 0.794], [0.240, 0.861, 0.298], [0.748, 0.417, 0.417], [0.381, 0.369, 0.369], [0.619, 0.631, 0.631], [0.252, 0.583, 0.583], [0.240, 0.298, 0.861], [0.000, 0.000, 0.000]]}

=====

2.
{"formula": "ZrAlCr3", "functional": "PBE", "state": "relaxed", "space_group": "Cmcm", "e_form_ev_per_fu": 0.6, "cell": [[2.655, -5.786, 0.000], [2.655, 5.786, 0.000], [0.000, 0.000, 4.919]], "species": ["Zr", "Al", "Cr", "Cr", "Al", "Cr", "Cr", "Cr", "Cr", "Zr"], "fractional_positions": [[0.403, 0.597, 0.250], [0.000, 0.000, 0.000], [0.610, 0.958, 0.750], [0.390, 0.042, 0.250], [0.000, 0.000, 0.500], [0.958, 0.610, 0.250], [0.195, 0.805, 0.750], [0.805, 0.195, 0.250], [0.042, 0.390, 0.750], [0.597, 0.403, 0.750]]}

=====

3.
{"formula": "RbAlGe", "functional": "PBE", "state": "relaxed", "space_group": "P4_122", "e_form_ev_per_fu": 0.9, "cell": [[-1.239, 5.762, -0.144], [-5.690, -1.199, 0.972], [1.931, 0.719, 12.199]], "species": ["Ge", "Al", "Rb", "Ge", "Ge", "Al", "Rb", "Al", "Rb", "Rb", "Ge", "Al"], "fractional_positions": [[0.148, 0.500, 0.750], [0.525, 0.475, 0.125], [0.000, 0.250, 0.500], [0.500, 0.148, 0.000], [0.852, 0.500, 0.250], [0.525, 0.525, 0.375], [0.000, 0.750, 0.000], [0.475, 0.475, 0.875], [0.750, 0.000, 0.750], [0.250, 0.000, 0.250], [0.500, 0.852, 0.500], [0.475, 0.525, 0.625]]}

=====

4.
{"formula": "NdGaNiPt3", "functional": "PBE", "state": "relaxed", "space_group": "Cmcm", "e_form_ev_per_fu": -3.3, "cell": [[5.645, 0.000, 0.000], [0.000, 6.711, 0.000], [0.000, -3.355, 5.880]], "species": ["Ni", "Pt", "Nd", "Pt", "Ni", "Pt", "Pt", "Pt", "Nd", "Ga", "Pt", "Ga"], "fractional_positions": [[0.750, 0.058, 0.117], [0.000, 0.291, 0.000], [0.250, 0.719, 0.437], [0.000, 0.709, 0.000], [0.250, 0.942, 0.883], [0.250, 0.159, 0.318], [0.500, 0.291, 0.000], [0.750, 0.841, 0.682], [0.750, 0.281, 0.563], [0.750, 0.635, 0.271], [0.500, 0.709, 0.000], [0.250, 0.365, 0.729]]}

=====

5.
{"formula": "SrCuN2", "functional": "PBE", "state": "relaxed", "raw_formation_energy_ev_per_atom": 0.993, "space_group": "Fm-3m", "cell": [[4.127, -0.253, -0.730], [2.092, -3.508, 0.973], [1.443, -2.498, -3.050]], "species": ["N", "Cu", "N", "Sr"], "fractional_positions": [[0.250, 0.250, 0.250], [0.000, 0.000, 0.000], [0.750, 0.750, 0.750], [0.500, 0.500, 0.500]]}

=====

6.
{"formula": "BeIn5I8", "functional": "PBE", "state": "relaxed", "raw_formation_energy_ev_per_atom": -0.431, "space_group": "I-4", "cell": [[-6.019, 6.959, 2.948], [-1.282, -0.733, -9.548], [-2.148, -7.778, 5.314]], "species": ["In", "I", "In", "Be", "I", "I", "In", "In", "In", "I", "I", "I", "I", "I"], "fractional_positions": [[0.507, 0.115, 0.139], [0.378, 0.449, 0.165], [0.000, 0.500, 0.500], [0.500, 0.750, 0.250], [0.622, 0.788, 0.071], [0.717, 0.929, 0.551], [0.976, 0.861, 0.368], [0.493, 0.632, 0.608], [0.024, 0.392, 0.885], [0.744, 0.450, 0.620], [0.170, 0.294, 0.550], [0.830, 0.380, 0.124], [0.256, 0.876, 0.706], [0.283, 0.835, 0.212]]}

=====

7.
{"formula": "Th2Pt3", "functional": "PBE", "state": "relaxed", "space_group": "R-3m", "e_form_ev_per_fu": -5.3, "cell": [[-2.684, -3.491, 0.699], [0.190, -2.220, 3.862], [-5.700, 2.380, 4.222]], "species": ["Pt", "Th", "Th", "Pt", "Pt"], "fractional_positions": [[0.000, 0.000, 0.000], [0.590, 0.590, 0.231], [0.410, 0.410, 0.769], [0.145, 0.145, 0.566], [0.855, 0.855, 0.434]]}

=====

8.
{"formula": "Nb3FeBr", "functional": "PBE", "state": "relaxed", "raw_formation_energy_ev_per_atom": 1.619, "space_group": "Pm-3m", "cell": [[4.687, 0.000, 0.000], [0.000, 4.687, 0.000], [0.000, 0.000, 4.687]], "species": ["Fe", "Nb", "Nb", "Br", "Nb"], "fractional_positions": [[0.500, 0.500, 0.500], [0.000, 0.000, 0.500], [0.000, 0.500, 0.000], [0.000, 0.000, 0.000], [0.500, 0.000, 0.000]]}

=====

9.
{"formula": "CoReN3", "functional": "PBE", "state": "relaxed", "raw_formation_energy_ev_per_atom": 1.610, "space_group": "Pm-3m", "cell": [[-0.025, -0.337, 3.567], [3.312, -1.362, -0.105], [1.366, 3.297, 0.322]], "species": ["N", "Co", "Re", "N", "N"], "fractional_positions": [[0.500, 0.000, 0.000], [0.000, 0.000, 0.000], [0.500, 0.500, 0.500], [0.000, 0.000, 0.500], [0.000, 0.500, 0.000]]}

=====

10.
{"formula": "LaSb3As", "functional": "PBE", "state": "relaxed", "raw_formation_energy_ev_per_atom": -0.022, "space_group": "Pm-3m", "cell": [[-3.330, -1.879, -3.780], [4.120, -0.395, -3.432], [0.922, -5.022, 1.685]], "species": ["Sb", "As", "Sb", "La", "Sb"], "fractional_positions": [[0.500, 0.000, 0.000], [0.000, 0.000, 0.000], [0.000, 0.000, 0.500], [0.500, 0.500, 0.500], [0.000, 0.500, 0.000]]}

=====

11.
{"formula": "Tc5Ir3", "functional": "PBE", "state": "relaxed", "space_group": "Cmmm", "e_form_ev_per_fu": -1.1, "cell": [[-2.930, 2.124, 4.083], [-2.381, -4.853, 0.742], [2.798, -0.987, 2.522]], "species": ["Ir", "Tc", "Tc", "Ir", "Tc", "Tc", "Ir", "Tc"], "fractional_positions": [[0.500, 0.500, 0.000], [0.500, 0.000, 0.000], [0.752, 0.248, 0.500], [0.749, 0.749, 0.500], [0.000, 0.500, 0.000], [0.000, 0.000, 0.000], [0.251, 0.251, 0.500], [0.248, 0.752, 0.500]]}

=====

12.
{"formula": "RbTiI2N", "functional": "PBE", "state": "relaxed", "raw_formation_energy_ev_per_atom": -0.672, "space_group": "P4/mmm", "cell": [[-1.819, 4.739, 3.261], [-4.064, -3.480, 2.789], [2.609, -0.869, 2.718]], "species": ["Rb", "I", "I", "N", "Ti"], "fractional_positions": [[0.500, 0.500, 0.500], [0.500, 0.000, 0.000], [0.000, 0.500, 0.000], [0.000, 0.000, 0.500], [0.000, 0.000, 0.000]]}

=====

13.
{"formula": "Li8AcMg3", "functional": "PBE", "state": "relaxed", "space_group": "P3m1", "e_form_ev_per_fu": 0.2, "cell": [[-5.513, 1.546, -0.325], [1.396, -5.527, 0.630], [-0.270, 0.990, 9.281]], "species": ["Ac", "Mg", "Li", "Li", "Li", "Mg", "Mg", "Li", "Li", "Li", "Li", "Li"], "fractional_positions": [[0.000, 0.000, 0.565], [0.667, 0.333, 0.415], [0.506, 0.011, 0.769], [0.166, 0.332, 0.237], [0.333, 0.667, 0.496], [0.667, 0.333, 0.065], [0.000, 0.000, 0.949], [0.333, 0.667, 0.992], [0.989, 0.494, 0.769], [0.166, 0.834, 0.237], [0.668, 0.834, 0.237], [0.506, 0.494, 0.769]]}

=====

14.
{"formula": "Na3La3HfTe8", "functional": "PBE", "state": "relaxed", "raw_formation_energy_ev_per_atom": -1.265, "space_group": "R-3m", "cell": [[9.090, 0.000, 0.000], [-4.545, 7.873, -0.029], [0.000, -5.223, 7.624]], "species": ["La", "Te", "Te", "Te", "Na", "Te", "La", "Hf", "Te", "Te", "Te", "La", "Na", "Te", "Na"], "fractional_positions": [[0.500, 0.500, 0.500], [0.772, 0.545, 0.275], [0.252, 0.504, 0.256], [0.228, 0.455, 0.725], [0.000, 0.000, 0.000], [0.772, 0.002, 0.275], [0.000, 0.500, 0.500], [0.000, 0.000, 0.500], [0.230, 0.002, 0.275], [0.228, 0.998, 0.725], [0.748, 0.496, 0.744], [0.500, 0.000, 0.500], [0.500, 0.500, 0.000], [0.770, 0.998, 0.725], [0.000, 0.500, 0.000]]}

=====

15.
{"formula": "La3Dy12Y", "functional": "PBE", "state": "relaxed", "space_group": "P4/mmm", "e_form_ev_per_fu": 0.5, "cell": [[5.071, 0.000, 0.000], [0.000, 5.071, 0.000], [0.000, 0.000, 20.285]], "species": ["La", "Dy", "Dy", "Dy", "La", "La", "Dy", "Dy", "Dy", "Dy", "Dy", "Dy", "Y", "Dy", "Dy", "Dy"], "fractional_positions": [[0.000, 0.000, 0.500], [0.500, 0.500, 0.500], [0.500, 0.000, 0.877], [0.500, 0.000, 0.626], [0.000, 0.000, 0.750], [0.000, 0.000, 0.250], [0.500, 0.500, 0.000], [0.000, 0.500, 0.374], [0.500, 0.000, 0.123], [0.500, 0.500, 0.248], [0.000, 0.500, 0.123], [0.000, 0.500, 0.626], [0.000, 0.000, 0.000], [0.500, 0.500, 0.752], [0.000, 0.500, 0.877], [0.500, 0.000, 0.374]]}

=====

16.
{"formula": "BTe2ICl", "functional": "PBE", "state": "relaxed", "raw_formation_energy_ev_per_atom": 1.476, "space_group": "P4/mmm", "cell": [[5.190, 0.000, 0.000], [0.000, 5.190, 0.000], [0.000, 0.000, 7.466]], "species": ["Te", "I", "Te", "Cl", "B"], "fractional_positions": [[0.000, 0.500, 0.000], [0.000, 0.000, 0.500], [0.500, 0.000, 0.000], [0.000, 0.000, 0.000], [0.500, 0.500, 0.500]]}

=====

17.
{"formula": "TaSiBr", "functional": "PBE", "state": "relaxed", "raw_formation_energy_ev_per_atom": 0.274, "space_group": "Fmm2", "cell": [[-7.068, -0.013, 0.972], [-6.739, -1.084, -1.831], [-0.528, -2.673, 1.299]], "species": ["Si", "Ta", "Br"], "fractional_positions": [[0.696, 0.696, 0.304], [0.335, 0.335, 0.665], [0.968, 0.968, 0.032]]}

=====

18.
{"formula": "K2Ta", "functional": "PBE", "state": "relaxed", "space_group": "Pnnm", "e_form_ev_per_fu": 4.8, "cell": [[2.830, 0.000, 0.000], [0.000, 9.372, 0.000], [0.000, 0.000, 9.307]], "species": ["K", "K", "Ta", "Ta", "K", "K"], "fractional_positions": [[0.500, 0.693, 0.815], [0.000, 0.193, 0.685], [0.000, 0.000, 0.000], [0.500, 0.500, 0.500], [0.000, 0.807, 0.315], [0.500, 0.307, 0.185]]}

=====

19.
{"formula": "Sc2MnTe4", "functional": "PBE", "state": "relaxed", "raw_formation_energy_ev_per_atom": -0.905, "space_group": "Fd-3m", "cell": [[7.371, -0.047, 4.216], [-2.363, 6.982, 4.216], [0.038, 0.052, 8.491]], "species": ["Te", "Sc", "Te", "Sc", "Sc", "Sc", "Te", "Te", "Te", "Te", "Mn", "Te", "Mn", "Te"], "fractional_positions": [[0.265, 0.755, 0.490], [0.500, 0.500, 0.500], [0.745, 0.755, 0.490], [0.500, 0.000, 0.000], [0.000, 0.000, 0.000], [0.500, 0.000, 0.500], [0.255, 0.245, 0.510], [0.745, 0.755, 0.010], [0.255, 0.245, 0.990], [0.735, 0.245, 0.510], [0.125, 0.375, 0.250], [0.255, 0.765, 0.990], [0.875, 0.625, 0.750], [0.745, 0.235, 0.010]]}

=====

20.
{"formula": "GaCo4Mo", "functional": "PBE", "state": "relaxed", "space_group": "F-43m", "e_form_ev_per_fu": 0.2, "cell": [[-2.161, -0.556, 4.089], [-4.594, -0.760, 0.122], [-1.636, -4.188, 1.219]], "species": ["Ga", "Co", "Co", "Co", "Co", "Mo"], "fractional_positions": [[0.000, 0.000, 0.000], [0.626, 0.626, 0.626], [0.626, 0.123, 0.626], [0.626, 0.626, 0.123], [0.123, 0.626, 0.626], [0.250, 0.250, 0.250]]}